Material: PrSmAl
Method: DFT, PBE-GGA
State: relaxed

Properties
- energy of formation (eV per atom) = 0.069
- offset from the most stable computed form (meV per atom) = 280.3
- crystal system = monoclinic
- ρ (g cm⁻³) = 5.9
- volume (Å³/atom) = 29.9

abc: 9.6265 3.4020 6.0611
angles: 90.00 115.49 90.00
Last column: nearest neighbours and their distance in Å.
Space group Cm (No. 8)
Unique sites:
1 Pr 0.0000 0.0000 0.0000  3 Al 3.15-3.23, 2 Sm 3.25-3.43, 2 Pr 3.40
2 Sm 0.3385 0.5000 0.4066  3 Al 3.07-3.16, 2 Pr 3.25-3.43, 2 Sm 3.40
3 Al 0.1399 0.5000 0.6896  3 Sm 3.07-3.16, 3 Pr 3.15-3.23, 2 Al 3.40



Material: BaLaFe2
Method: DFT, PBE-GGA
State: relaxed

Properties
- energy of formation (eV per atom) = 0.761
- crystal system = tetragonal
- ρ (g cm⁻³) = 6.2
- volume (Å³/atom) = 26.1

abc: 5.0064 5.0064 16.6572
angles: 90.00 90.00 90.00
Last column: nearest neighbours and their distance in Å.
Space group I4_1/amd (No. 141, origin choice 2)
Unique sites:
1 Ba 0.0000 0.2500 0.3750  8 Fe 3.49, 4 La 3.54
2 La 0.0000 0.2500 0.8750  4 Fe 2.43
3 Fe 0.0000 0.0000 0.0000  2 La 2.43, 2 Fe 2.50



no.,E (eV/atom)
1,-4.345
2,-5.182